Entry 1:
! TaTc2Cl | Alexandria via LeMat-Bulk | meta-GGA SCAN | single point on PBEsol structure; values from VASP
! Crystal system   orthorhombic
! Electronic total energy   -35.932 eV per atom
! Formation energy from raw total energies   0.24 eV per atom
! Density   10.95 Mg/m³
! E above lowest polymorph   165.0 meV/atom
&SYSTEM
  ibrav = 0, nat = 4, ntyp = 3
/
ATOMIC_SPECIES
Ta 180.95 Ta.upf
Tc 98.00 Tc.upf
Cl 35.45 Cl.upf
CELL_PARAMETERS angstrom
1.5468 -2.4046 0.0000
1.5468 2.4046 0.0000
0.0000 0.0000 8.4094
ATOMIC_POSITIONS angstrom
Ta 0.0000 0.0000 0.0000
Tc 1.5468 0.0000 2.0669
Tc 1.5468 0.0000 6.3424
Cl 0.0000 0.0000 4.2047


Entry 2:
! Ta2TcCl | Alexandria via LeMat-Bulk | meta-GGA SCAN | single point on PBEsol structure; values from VASP
! Crystal system   monoclinic
! Electronic total energy   -43.804 eV per atom
! Formation energy from raw total energies   0.25 eV per atom
! Density   12.65 Mg/m³
! E above lowest polymorph   259.7 meV/atom
&SYSTEM
  ibrav = 0, nat = 4, ntyp = 3
/
ATOMIC_SPECIES
Ta 180.95 Ta.upf
Tc 98.00 Tc.upf
Cl 35.45 Cl.upf
CELL_PARAMETERS angstrom
3.0071 0.0000 0.0000
0.0000 4.2661 0.0000
-0.6914 0.0000 5.0688
ATOMIC_POSITIONS angstrom
Ta 0.0000 0.0000 0.0000
Ta 1.3239 2.1330 1.3249
Tc -0.0976 0.0000 2.4076
Cl 0.4099 2.1330 3.8165


Entry 3:
! Ta2TcCl | Alexandria via LeMat-Bulk | meta-GGA SCAN | single point on PBEsol structure; values from VASP
! Crystal system   tetragonal
! Electronic total energy   -44.064 eV per atom
! Formation energy from raw total energies   -0.01 eV per atom
! Density   12.61 Mg/m³
! E above lowest polymorph   0.0 meV/atom
&SYSTEM
  ibrav = 0, nat = 4, ntyp = 3
/
ATOMIC_SPECIES
Ta 180.95 Ta.upf
Tc 98.00 Tc.upf
Cl 35.45 Cl.upf
CELL_PARAMETERS angstrom
3.0062 0.0000 0.0000
0.0000 3.0062 0.0000
0.0000 0.0000 7.2198
ATOMIC_POSITIONS angstrom
Ta 0.0000 0.0000 1.6338
Ta 0.0000 0.0000 5.5860
Tc 1.5031 1.5031 0.0000
Cl 1.5031 1.5031 3.6099


Entry 4:
! TaTc2Cl | Alexandria via LeMat-Bulk | meta-GGA SCAN | single point on PBEsol structure; values from VASP
! Crystal system   tetragonal
! Electronic total energy   -36.097 eV per atom
! Formation energy from raw total energies   0.07 eV per atom
! Density   11.64 Mg/m³
! E above lowest polymorph   0.0 meV/atom
&SYSTEM
  ibrav = 0, nat = 4, ntyp = 3
/
ATOMIC_SPECIES
Ta 180.95 Ta.upf
Tc 98.00 Tc.upf
Cl 35.45 Cl.upf
CELL_PARAMETERS angstrom
2.8969 0.0000 0.0000
0.0000 2.8969 0.0000
0.0000 0.0000 7.0079
ATOMIC_POSITIONS angstrom
Ta 0.0000 0.0000 0.0000
Tc 0.0000 0.0000 3.4948
Tc 1.4484 1.4484 1.9409
Cl 1.4484 1.4484 5.3556